Computed, not measured: an optimized crystal structure of NdGd2Cu4Si4 at the PBE level of DFT.

abc: 4.184 6.637 13.893
angles: 90.00 90.00 90.00
Space group Immm (No. 71)
Unique sites:
1 Nd 0.000 0.000 0.000 [2 per cell]
2 Gd 0.000 0.500 0.130 [4 per cell]
3 Cu 0.000 0.310 0.331 [8 per cell]
4 Si 0.000 0.000 0.218 [4 per cell]
5 Si 0.000 0.181 0.500 [4 per cell]

Computed, not measured: an optimized crystal structure of NdGdCu2Si2 at the PBE level of DFT.

abc: 4.1821 4.1821 7.8086
angles: 90.00 90.00 120.00
Space group P-3m1 (No. 164)
Unique sites:
1 Nd 0.0000 0.0000 0.0000 [1 per cell]
2 Gd 0.0000 0.0000 0.5000 [1 per cell]
3 Cu 0.3333 0.6667 0.2567 [2 per cell]
4 Si 0.3333 0.6667 0.7409 [2 per cell]

Computed, not measured: an optimized crystal structure of NdGd2Cu4Sn4 at the PBE level of DFT.

abc: 4.510 7.033 14.892
angles: 90.00 90.00 90.00
Space group Immm (No. 71)
Unique sites:
1 Nd 0.000 0.000 0.000 [2 per cell]
2 Gd 0.000 0.500 0.132 [4 per cell]
3 Cu 0.000 0.314 0.331 [8 per cell]
4 Sn 0.000 0.000 0.218 [4 per cell]
5 Sn 0.000 0.199 0.500 [4 per cell]

Computed, not measured: an optimized crystal structure of NdGdCu2Sn2 at the PBE level of DFT.

abc: 4.5769 4.5769 7.4522
angles: 90.00 90.00 120.00
Space group P3m1 (No. 156)
Unique sites:
1 Nd 0.0000 0.0000 0.0000 [1 per cell]
2 Gd 0.0000 0.0000 0.4990 [1 per cell]
3 Cu 0.3333 0.6667 0.8063 [1 per cell]
4 Cu 0.6667 0.3333 0.3196 [1 per cell]
5 Sn 0.3333 0.6667 0.2362 [1 per cell]
6 Sn 0.6667 0.3333 0.7253 [1 per cell]

Computed, not measured: an optimized crystal structure of GdCuNi at the PBE level of DFT.

abc: 6.127 6.127 6.127
angles: 90.00 90.00 90.00
Space group F-43m (No. 216)
Unique sites:
1 Gd 0.000 0.000 0.000 [4 per cell]
2 Cu 0.000 0.000 0.500 [4 per cell]
3 Ni 0.250 0.250 0.750 [4 per cell]

Computed properties:
The energy of formation from the pure elements comes out at -107 meV per atom.

Computed, not measured: an optimized crystal structure of Gd2TlCuNi at the PBE level of DFT.

abc: 3.654 4.159 14.338
angles: 90.00 90.00 90.00
Space group Amm2 (No. 38)
Unique sites:
1 Gd 0.000 0.000 0.000 [2 per cell]
2 Gd 0.000 0.000 0.274 [2 per cell]
3 Tl 0.500 0.000 0.634 [2 per cell]
4 Cu 0.500 0.000 0.838 [2 per cell]
5 Ni 0.500 0.000 0.432 [2 per cell]

| no. | calculated total energy (eV per formula unit) |
| --- | --- |
| 1 | -57.4 |
| 2 | -31.6 |
| 3 | -50.8 |
| 4 | -28.5 |
| 5 | -14.3 |
| 6 | -22.9 |